--- 1 ---
A geometry-optimized LaCd2Mo structure. Source: Alexandria via LeMat-Bulk, functional PBE-GGA.

As for the total magnetization: 1.20 μB/f.u.

abc: 4.329 4.329 4.915
angles: 90.00 90.00 90.00
Last column: magnetic moment on the atom in μB.
Element x y z (fractional)
Cd1 0.000 0.000 0.000  -0.01
Cd2 0.500 0.500 0.000  -0.01
La1 0.500 0.000 0.500  0.03
Mo1 0.000 0.500 0.500  1.05

***

--- 2 ---
A geometry-optimized LaCd2Mo structure. Source: Alexandria via LeMat-Bulk, functional PBE-GGA.

As for the total magnetization: 0.71 μB/f.u.

abc: 10.995 10.995 10.995
angles: 16.04 16.04 16.04
Last column: magnetic moment on the atom in μB.
Element x y z (fractional)
Cd1 0.010 0.010 0.010  0.00
Cd2 0.490 0.490 0.490  0.00
La1 0.250 0.250 0.250  0.47
Mo1 0.750 0.750 0.750  0.03

***

Among the structures above, stability is greatest for 1.